Entry from the Open Quantum Materials Database: an optimized crystal structure of GdTmCu2Ge2 (PBE).

abc: 4.249 4.249 7.296
angles: 90.00 90.00 120.00
Sites, in units of the cell vectors:
Cu: 0.667 0.333 0.459
Cu: 0.333 0.667 0.987
Gd: 0.000 0.000 0.747
Ge: 0.667 0.333 0.024
Ge: 0.333 0.667 0.513
Tm: 0.000 0.000 0.248

Total DFT energy (no corrections) in eV/atom: -4.9861
SG: P3m1
Magnetization in μB/cell: 0.00